# 1
# AlGa4Rh5 | the Alexandria database | PBE-GGA | relaxed
# Fermi-level density of states (states/eV/cell): 3.65
# Energy (eV per atom): -6.03
# E_form (eV/atom): -0.766
data_AlGa4Rh5
_chemical_formula_sum 'Al1 Ga4 Rh5'
_symmetry_space_group_name_H-M 'P 4/m m m'
_symmetry_Int_Tables_number 123
_symmetry_space_group_name_Hall '-P 4 2'
_cell_length_a 3.030
_cell_length_b 3.030
_cell_length_c 15.163
_cell_angle_alpha 90.00
_cell_angle_beta 90.00
_cell_angle_gamma 90.00
loop_
_atom_site_label
_atom_site_type_symbol
_atom_site_fract_x
_atom_site_fract_y
_atom_site_fract_z
Al1 Al 0.000 0.000 0.000
Ga1 Ga 0.000 0.000 0.199
Ga2 Ga 0.000 0.000 0.399
Rh1 Rh 0.500 0.500 0.098
Rh2 Rh 0.500 0.500 0.299
Rh3 Rh 0.500 0.500 0.500

# 2
# ScInBRu2 | the Alexandria database | PBE-GGA | relaxed
# Fermi-level density of states (states/eV/cell): 2.29
# Energy (eV per atom): -7.11
# E_form (eV/atom): -0.254
data_ScInBRu2
_chemical_formula_sum 'Sc1 In1 B1 Ru2'
_symmetry_space_group_name_H-M 'P 4/m m m'
_symmetry_Int_Tables_number 123
_symmetry_space_group_name_Hall '-P 4 2'
_cell_length_a 4.196
_cell_length_b 4.196
_cell_length_c 4.403
_cell_angle_alpha 90.00
_cell_angle_beta 90.00
_cell_angle_gamma 90.00
loop_
_atom_site_label
_atom_site_type_symbol
_atom_site_fract_x
_atom_site_fract_y
_atom_site_fract_z
Sc1 Sc 0.000 0.000 0.000
In1 In 0.500 0.500 0.000
B1 B 0.000 0.000 0.500
Ru1 Ru 0.000 0.500 0.500

# 3
# CeTmGeIr | the Alexandria database | PBE-GGA | relaxed
# Fermi-level density of states (states/eV/cell): 15.80
# Energy (eV per atom): -6.61
# E_form (eV/atom): -0.643
# Energy above the lowest structure with this stoichiometry (meV/atom): 178
data_CeTmGeIr
_chemical_formula_sum 'Ce4 Tm4 Ge4 Ir4'
_symmetry_space_group_name_H-M 'F -4 3 m'
_symmetry_Int_Tables_number 216
_symmetry_space_group_name_Hall 'F -4 2 3'
_cell_length_a 7.034
_cell_length_b 7.034
_cell_length_c 7.034
_cell_angle_alpha 90.00
_cell_angle_beta 90.00
_cell_angle_gamma 90.00
loop_
_atom_site_label
_atom_site_type_symbol
_atom_site_fract_x
_atom_site_fract_y
_atom_site_fract_z
Ce1 Ce 0.000 0.000 0.000
Tm1 Tm 0.000 0.000 0.500
Ge1 Ge 0.250 0.250 0.750
Ir1 Ir 0.250 0.250 0.250

# 4
# CeEr7Tl5 | the Alexandria database | PBE-GGA | relaxed
# Fermi-level density of states (states/eV/cell): 42.19
# Energy (eV per atom): -3.94
# E_form (eV/atom): -0.114
data_CeEr7Tl5
_chemical_formula_sum 'Ce2 Er14 Tl10'
_symmetry_space_group_name_H-M 'I m m 2'
_symmetry_Int_Tables_number 44
_cell_length_a 6.475
_cell_length_b 10.825
_cell_length_c 10.786
_cell_angle_alpha 90.00
_cell_angle_beta 90.00
_cell_angle_gamma 90.00
loop_
_symmetry_equiv_pos_as_xyz
'x,y,z'
'-x,-y,z'
'-x,y,z'
'x,-y,z'
'x+1/2,y+1/2,z+1/2'
'-x+1/2,-y+1/2,z+1/2'
'-x+1/2,y+1/2,z+1/2'
'x+1/2,-y+1/2,z+1/2'
loop_
_atom_site_label
_atom_site_type_symbol
_atom_site_fract_x
_atom_site_fract_y
_atom_site_fract_z
Ce1 Ce 0.000 0.000 0.000
Er1 Er 0.000 0.000 0.347
Er2 Er 0.000 0.000 0.659
Er3 Er 0.000 0.303 0.475
Er4 Er 0.000 0.343 0.991
Er5 Er 0.000 0.500 0.718
Tl1 Tl 0.000 0.500 0.253
Tl2 Tl 0.249 0.260 0.731

# 5
# Cs2CaZnP2 | the Alexandria database | PBE-GGA | relaxed
# Energy (eV per atom): -3.20
# E_form (eV/atom): -0.565
data_Cs2CaZnP2
_chemical_formula_sum 'Cs8 Ca4 Zn4 P8'
_symmetry_space_group_name_H-M 'I b a m'
_symmetry_Int_Tables_number 72
_symmetry_space_group_name_Hall '-I 2 2c'
_cell_length_a 6.685
_cell_length_b 16.696
_cell_length_c 6.771
_cell_angle_alpha 90.00
_cell_angle_beta 90.00
_cell_angle_gamma 90.00
loop_
_atom_site_label
_atom_site_type_symbol
_atom_site_fract_x
_atom_site_fract_y
_atom_site_fract_z
Cs1 Cs 0.229 0.175 0.000
Ca1 Ca 0.000 0.500 0.250
Zn1 Zn 0.000 0.000 0.250
P1 P 0.218 0.078 0.500

# 6
# Tb4Ru2Pt | the Alexandria database | PBE-GGA | relaxed
# Fermi-level density of states (states/eV/cell): 12.36
# Energy (eV per atom): -6.71
# E_form (eV/atom): -0.552
data_Tb4Ru2Pt
_chemical_formula_sum 'Tb12 Ru6 Pt3'
_symmetry_space_group_name_H-M 'R -3 m'
_symmetry_Int_Tables_number 166
_symmetry_space_group_name_Hall '-R 3 2"'
_cell_length_a 4.8447
_cell_length_b 4.8447
_cell_length_c 23.6882
_cell_angle_alpha 90.00
_cell_angle_beta 90.00
_cell_angle_gamma 120.00
loop_
_atom_site_label
_atom_site_type_symbol
_atom_site_fract_x
_atom_site_fract_y
_atom_site_fract_z
Tb1 Tb 0.0000 0.0000 0.1224
Tb2 Tb 0.0000 0.0000 0.3730
Ru1 Ru 0.0000 0.0000 0.2487
Pt1 Pt 0.0000 0.0000 0.5000